<a>
First-principles (PBE-GGA) data for an optimized crystal structure of Pd3IO, as listed in Alexandria.

extended XYZ file:
```
5
Lattice="4.998 0.000 0.000 0.000 4.998 0.000 0.000 0.000 4.998" Properties=species:S:1:pos:R:3 pbc="T T T"
Pd 0.000 0.000 2.499
Pd 0.000 2.499 0.000
Pd 2.499 0.000 0.000
I 0.000 0.000 0.000
O 2.499 2.499 2.499
```

---

<b>
First-principles (PBE-GGA) data for an optimized crystal structure of Pd3IO, as listed in Alexandria.

extended XYZ file:
```
5
Lattice="4.397 0.000 0.000 0.000 4.397 0.000 0.000 0.000 4.397" Properties=species:S:1:pos:R:3 pbc="T T T"
Pd 0.000 0.000 2.198
Pd 0.000 2.198 0.000
Pd 2.198 0.000 0.000
I 2.198 2.198 2.198
O 0.000 0.000 0.000
```

---

Of them, <b> has the highest stability.

---

<a>
First-principles (PBE-GGA) data for an optimized crystal structure of PdPtI2O, as listed in Alexandria.

extended XYZ file:
```
5
Lattice="5.644 0.000 0.000 0.000 5.644 0.000 0.000 0.000 3.769" Properties=species:S:1:pos:R:3 pbc="T T T"
Pd 0.000 0.000 0.000
Pt 2.822 2.822 1.884
I 0.000 2.822 1.884
I 2.822 0.000 1.884
O 2.822 2.822 0.000
```

---

<b>
First-principles (PBE-GGA) data for an optimized crystal structure of PdPtI2O, as listed in Alexandria.

extended XYZ file:
```
5
Lattice="5.506 0.000 0.000 0.000 5.506 0.000 0.000 0.000 3.779" Properties=species:S:1:pos:R:3 pbc="T T T"
Pd 0.000 0.000 0.000
Pt 2.753 2.753 1.890
I 0.000 2.753 0.000
I 2.753 0.000 0.000
O 0.000 0.000 1.890
```

---

Of them, <a> has the highest stability.

---

<a>
First-principles (PBE-GGA) data for an optimized crystal structure of RePdIO2, as listed in Alexandria.

extended XYZ file:
```
5
Lattice="3.820 0.000 0.000 0.000 3.820 0.000 0.000 0.000 5.959" Properties=species:S:1:pos:R:3 pbc="T T T"
Re 0.000 0.000 0.000
Pd 1.910 1.910 2.980
I 0.000 0.000 2.980
O 0.000 1.910 0.000
O 1.910 0.000 0.000
```

---

<b>
First-principles (PBE-GGA) data for an optimized crystal structure of RePdIO2, as listed in Alexandria.

extended XYZ file:
```
5
Lattice="3.952 0.000 0.000 0.000 3.952 0.000 0.000 0.000 6.233" Properties=species:S:1:pos:R:3 pbc="T T T"
Re 0.000 0.000 0.000
Pd 1.976 1.976 3.116
I 1.976 1.976 0.000
O 0.000 1.976 3.116
O 1.976 0.000 3.116
```

---

Of them, <a> has the highest stability.

---

<a>
First-principles (PBE-GGA) data for an optimized crystal structure of PdSI2O, as listed in Alexandria.

extended XYZ file:
```
5
Lattice="5.622 0.000 0.000 0.000 5.622 0.000 0.000 0.000 3.513" Properties=species:S:1:pos:R:3 pbc="T T T"
Pd 0.000 0.000 0.000
S 2.811 2.811 1.757
I 0.000 2.811 1.757
I 2.811 0.000 1.757
O 2.811 2.811 0.000
```

---

<b>
First-principles (PBE-GGA) data for an optimized crystal structure of PdSI2O, as listed in Alexandria.

extended XYZ file:
```
5
Lattice="5.556 0.000 0.000 0.000 5.556 0.000 0.000 0.000 3.860" Properties=species:S:1:pos:R:3 pbc="T T T"
Pd 0.000 0.000 0.000
S 2.778 2.778 1.930
I 0.000 2.778 0.000
I 2.778 0.000 0.000
O 0.000 0.000 1.930
```

---

Of them, <a> has the highest stability.

---

<a>
First-principles (PBE-GGA) data for an optimized crystal structure of SbPdIO2, as listed in Alexandria.

extended XYZ file:
```
5
Lattice="4.268 0.000 0.000 0.000 4.268 0.000 0.000 0.000 5.156" Properties=species:S:1:pos:R:3 pbc="T T T"
Sb 0.000 0.000 0.000
Pd 2.134 2.134 2.578
I 2.134 2.134 0.000
O 0.000 2.134 2.578
O 2.134 0.000 2.578
```

---

<b>
First-principles (PBE-GGA) data for an optimized crystal structure of SbPdIO2, as listed in Alexandria.

extended XYZ file:
```
5
Lattice="3.955 0.000 0.000 0.000 3.955 0.000 0.000 0.000 6.671" Properties=species:S:1:pos:R:3 pbc="T T T"
Sb 0.000 0.000 0.000
Pd 1.977 1.977 3.335
I 0.000 0.000 3.335
O 0.000 1.977 0.000
O 1.977 0.000 0.000
```

---

Of them, <b> has the highest stability.

---

<a>
First-principles (PBE-GGA) data for an optimized crystal structure of SbPdI2O, as listed in Alexandria.

extended XYZ file:
```
5
Lattice="5.407 0.000 0.000 0.000 5.407 0.000 0.000 0.000 5.198" Properties=species:S:1:pos:R:3 pbc="T T T"
Sb 0.000 0.000 0.000
Pd 0.000 0.000 2.599
I 0.000 2.703 2.599
I 2.703 0.000 2.599
O 2.703 2.703 0.000
```

---

<b>
First-principles (PBE-GGA) data for an optimized crystal structure of SbPdI2O, as listed in Alexandria.

extended XYZ file:
```
5
Lattice="5.699 0.000 0.000 0.000 5.699 0.000 0.000 0.000 3.878" Properties=species:S:1:pos:R:3 pbc="T T T"
Sb 0.000 0.000 0.000
Pd 2.850 2.850 1.939
I 0.000 2.850 1.939
I 2.850 0.000 1.939
O 2.850 2.850 0.000
```

---

<c>
First-principles (PBE-GGA) data for an optimized crystal structure of SbPdI2O, as listed in Alexandria.

extended XYZ file:
```
5
Lattice="5.643 0.000 0.000 0.000 5.643 0.000 0.000 0.000 4.176" Properties=species:S:1:pos:R:3 pbc="T T T"
Sb 0.000 0.000 0.000
Pd 2.821 2.821 0.000
I 0.000 2.821 2.088
I 2.821 0.000 2.088
O 0.000 0.000 2.088
```

---

Of them, <b> has the highest stability.